Entry 1:
DFT (PBE-GGA) results for an optimized crystal structure of NbTcSnIr2.

* crystal system: tetragonal
* relative energy among the computed polymorphs: 0 meV per atom

Lattice parameters (Å, degrees): 4.756 4.756 4.785 90.00 90.00 90.00
Fractional coordinates of all 5 atoms:
Nb 0.000 0.000 0.000
Tc 0.000 0.000 0.500
Sn 0.500 0.500 0.000
Ir 0.000 0.500 0.500
Ir 0.500 0.000 0.500

=====

Entry 2:
DFT (PBE-GGA) results for an optimized crystal structure of La2ZrAs.

* crystal system: trigonal
* final energy: -25.1 eV for the cell shown

Lattice parameters (Å, degrees): 9.516 9.516 9.516 23.14 23.14 23.14
Fractional coordinates of all 4 atoms:
La 0.000 0.000 0.000
La 0.222 0.222 0.222
Zr 0.460 0.460 0.460
As 0.738 0.738 0.738

=====

How do the records compare in total magnetization? In the order shown, they have 0.79; 0.00 μB/f.u..